1.
Below is Cu2GeTe2Se after structural relaxation, with properties calculated at the PBE level.

The density comes out at 5.69 g/cm³.

Cell lengths 7.230, 7.230, 7.230 Å; angles 145.46, 59.82, 132.77 degrees
Fractional coordinates of all 6 atoms:
Cu 0.160 0.000 0.160
Cu 0.840 0.000 0.840
Ge 0.485 0.985 0.500
Te 0.585 0.256 0.329
Te 0.927 0.256 0.671
Se 0.239 0.239 0.000

---

2.
Below is TlCuGeTeSe2 after structural relaxation, with properties calculated at the PBE level.

The density comes out at 6.72 g/cm³.

Cell lengths 7.821, 7.821, 11.085 Å; angles 90.00, 90.00, 152.84 degrees
Fractional coordinates of all 12 atoms:
Tl 0.234 0.766 0.750
Tl 0.766 0.234 0.250
Cu 0.436 0.564 0.250
Cu 0.564 0.436 0.750
Ge 0.000 0.000 0.000
Ge 0.000 0.000 0.500
Te 0.063 0.937 0.250
Te 0.937 0.063 0.750
Se 0.379 0.621 0.049
Se 0.379 0.621 0.451
Se 0.621 0.379 0.549
Se 0.621 0.379 0.951

---

3.
Below is TmCuGeTe2Se after structural relaxation, with properties calculated at the PBE level.

The density comes out at 7.16 g/cm³.

Cell lengths 7.374, 7.374, 10.284 Å; angles 90.00, 90.00, 147.95 degrees
Fractional coordinates of all 12 atoms:
Tm 0.000 0.000 0.000
Tm 0.000 0.000 0.500
Cu 0.479 0.521 0.750
Cu 0.521 0.479 0.250
Ge 0.240 0.760 0.250
Ge 0.760 0.240 0.750
Te 0.347 0.653 0.566
Te 0.347 0.653 0.934
Te 0.653 0.347 0.066
Te 0.653 0.347 0.434
Se 0.081 0.919 0.750
Se 0.919 0.081 0.250

---

4.
Below is YCuGeTeSe2 after structural relaxation, with properties calculated at the PBE level.

The density comes out at 5.76 g/cm³.

Cell lengths 7.001, 7.001, 11.024 Å; angles 90.00, 90.00, 147.00 degrees
Fractional coordinates of all 12 atoms:
Y 0.000 0.000 0.000
Y 0.000 0.000 0.500
Cu 0.471 0.529 0.750
Cu 0.529 0.471 0.250
Ge 0.198 0.802 0.250
Ge 0.802 0.198 0.750
Te 0.103 0.897 0.750
Te 0.897 0.103 0.250
Se 0.358 0.642 0.573
Se 0.358 0.642 0.927
Se 0.642 0.358 0.073
Se 0.642 0.358 0.427

---

5.
Below is TmCuGeSe3 after structural relaxation, with properties calculated at the PBE level.

The density comes out at 6.85 g/cm³. The energy above the lowest structure with this stoichiometry is 0.0395 eV/atom.

Cell lengths 11.186, 4.075, 11.522 Å; angles 90.00, 90.00, 90.00 degrees
Fractional coordinates of all 24 atoms:
Tm 0.016 0.250 0.186
Tm 0.484 0.750 0.686
Tm 0.516 0.250 0.314
Tm 0.984 0.750 0.814
Cu 0.245 0.750 0.295
Cu 0.255 0.250 0.795
Cu 0.745 0.750 0.205
Cu 0.755 0.250 0.705
Ge 0.169 0.250 0.506
Ge 0.331 0.750 0.006
Ge 0.669 0.250 0.994
Ge 0.831 0.750 0.494
Se 0.041 0.750 0.371
Se 0.099 0.250 0.936
Se 0.222 0.750 0.677
Se 0.278 0.250 0.177
Se 0.401 0.750 0.436
Se 0.459 0.250 0.871
Se 0.541 0.750 0.129
Se 0.599 0.250 0.564
Se 0.722 0.750 0.823
Se 0.778 0.250 0.323
Se 0.901 0.750 0.064
Se 0.959 0.250 0.629

---

6.
Below is TmCuGeSe3 after structural relaxation, with properties calculated at the PBE level.

The density comes out at 6.56 g/cm³. The energy above the lowest structure with this stoichiometry is 0.0001 eV/atom.

Cell lengths 10.421, 3.999, 13.176 Å; angles 90.00, 90.00, 90.00 degrees
Fractional coordinates of all 24 atoms:
Tm 0.025 0.250 0.234
Tm 0.475 0.750 0.734
Tm 0.525 0.250 0.266
Tm 0.975 0.750 0.766
Cu 0.242 0.250 0.729
Cu 0.258 0.750 0.229
Cu 0.742 0.250 0.771
Cu 0.758 0.750 0.271
Ge 0.177 0.750 0.483
Ge 0.323 0.250 0.983
Ge 0.677 0.750 0.017
Ge 0.823 0.250 0.517
Se 0.052 0.250 0.609
Se 0.092 0.750 0.104
Se 0.236 0.750 0.843
Se 0.264 0.250 0.343
Se 0.408 0.250 0.604
Se 0.448 0.750 0.109
Se 0.552 0.250 0.891
Se 0.592 0.750 0.396
Se 0.736 0.750 0.657
Se 0.764 0.250 0.157
Se 0.908 0.250 0.896
Se 0.948 0.750 0.391

---

7.
Below is TmCuGeSe3 after structural relaxation, with properties calculated at the PBE level.

The density comes out at 6.64 g/cm³. The energy above the lowest structure with this stoichiometry is 0.0388 eV/atom.

Cell lengths 9.269, 9.269, 7.888 Å; angles 102.97, 102.97, 24.25 degrees
Fractional coordinates of all 12 atoms:
Tm 0.162 0.162 0.084
Tm 0.838 0.838 0.916
Cu 0.460 0.460 0.788
Cu 0.540 0.540 0.212
Ge 0.118 0.118 0.560
Ge 0.882 0.882 0.440
Se 0.000 0.000 0.000
Se 0.325 0.325 0.164
Se 0.325 0.325 0.655
Se 0.500 0.500 0.500
Se 0.675 0.675 0.345
Se 0.675 0.675 0.836

---

8.
Below is TmCuGeSe3 after structural relaxation, with properties calculated at the PBE level.

The density comes out at 6.81 g/cm³. The energy above the lowest structure with this stoichiometry is 0.0090 eV/atom.

Cell lengths 6.835, 6.835, 10.375 Å; angles 90.00, 90.00, 146.96 degrees
Fractional coordinates of all 12 atoms:
Tm 0.000 0.000 0.000
Tm 0.000 0.000 0.500
Cu 0.473 0.527 0.750
Cu 0.527 0.473 0.250
Ge 0.226 0.774 0.250
Ge 0.774 0.226 0.750
Se 0.091 0.909 0.750
Se 0.353 0.647 0.570
Se 0.353 0.647 0.930
Se 0.647 0.353 0.070
Se 0.647 0.353 0.430
Se 0.909 0.091 0.250

---

9.
Below is TmCuGeSe3 after structural relaxation, with properties calculated at the PBE level.

The density comes out at 6.55 g/cm³. The energy above the lowest structure with this stoichiometry is 0.0039 eV/atom.

Cell lengths 7.761, 3.897, 9.352 Å; angles 90.00, 103.55, 90.00 degrees
Fractional coordinates of all 12 atoms:
Tm 0.173 0.250 0.164
Tm 0.827 0.750 0.836
Cu 0.424 0.750 0.416
Cu 0.576 0.250 0.584
Ge 0.305 0.750 0.708
Ge 0.695 0.250 0.292
Se 0.089 0.250 0.851
Se 0.242 0.250 0.476
Se 0.437 0.750 0.157
Se 0.563 0.250 0.843
Se 0.758 0.750 0.524
Se 0.911 0.750 0.149

---

10.
Below is TmCuGeSe3 after structural relaxation, with properties calculated at the PBE level.

The density comes out at 6.58 g/cm³. The energy above the lowest structure with this stoichiometry is 0.0000 eV/atom.

Cell lengths 13.062, 3.896, 10.743 Å; angles 90.00, 90.00, 90.00 degrees
Fractional coordinates of all 24 atoms:
Tm 0.003 0.250 0.169
Tm 0.497 0.750 0.669
Tm 0.503 0.250 0.331
Tm 0.997 0.750 0.831
Cu 0.005 0.750 0.418
Cu 0.495 0.250 0.918
Cu 0.505 0.750 0.082
Cu 0.995 0.250 0.582
Ge 0.202 0.250 0.444
Ge 0.298 0.750 0.944
Ge 0.702 0.250 0.056
Ge 0.798 0.750 0.556
Se 0.117 0.750 0.612
Se 0.120 0.250 0.945
Se 0.142 0.750 0.261
Se 0.358 0.250 0.761
Se 0.380 0.750 0.445
Se 0.383 0.250 0.112
Se 0.617 0.750 0.888
Se 0.620 0.250 0.555
Se 0.642 0.750 0.239
Se 0.858 0.250 0.739
Se 0.880 0.750 0.055
Se 0.883 0.250 0.388

---

11.
Below is TmCuGeSe3 after structural relaxation, with properties calculated at the PBE level.

The density comes out at 6.59 g/cm³. The energy above the lowest structure with this stoichiometry is 0.0098 eV/atom.

Cell lengths 8.246, 4.054, 16.336 Å; angles 90.00, 90.00, 90.00 degrees
Fractional coordinates of all 24 atoms:
Tm 0.222 0.250 0.043
Tm 0.278 0.750 0.543
Tm 0.722 0.250 0.457
Tm 0.778 0.750 0.957
Cu 0.120 0.250 0.367
Cu 0.380 0.750 0.867
Cu 0.620 0.250 0.133
Cu 0.880 0.750 0.633
Ge 0.104 0.250 0.747
Ge 0.396 0.750 0.247
Ge 0.604 0.250 0.753
Ge 0.896 0.750 0.253
Se 0.033 0.250 0.592
Se 0.124 0.750 0.938
Se 0.191 0.250 0.221
Se 0.309 0.750 0.721
Se 0.376 0.250 0.438
Se 0.467 0.750 0.092
Se 0.533 0.250 0.908
Se 0.624 0.750 0.562
Se 0.691 0.250 0.279
Se 0.809 0.750 0.779
Se 0.876 0.250 0.062
Se 0.967 0.750 0.408

---

12.
Below is Cu2Si2Ge3 after structural relaxation, with properties calculated at the PBE level.

The density comes out at 5.59 g/cm³.

Cell lengths 8.119, 8.119, 8.119 Å; angles 30.08, 30.08, 30.08 degrees
Fractional coordinates of all 7 atoms:
Cu 0.000 0.000 0.000
Cu 0.485 0.485 0.485
Si 0.256 0.256 0.256
Si 0.748 0.748 0.748
Ge 0.112 0.112 0.112
Ge 0.639 0.639 0.639
Ge 0.869 0.869 0.869

---

E, record by record: -22.670 -43.321 -52.417 -58.770 -111.899 -112.844 -55.957 -56.315 -56.376 -112.846 -112.610 -29.203 eV for the cell shown
V, record by record: 25.97 25.79 24.73 24.52 21.88 22.88 22.58 22.02 22.92 22.78 22.76 17.01 A^3/atom